{
  "formula": "ZnTeBr6",
  "functional": "PBE-GGA",
  "state": "optimized geometry",
  "cell": [[7.409, -0.726, -2.084], [-3.993, 5.271, -1.689], [0.110, 0.830, 7.269]],
  "species": ["Zn", "Te", "Br", "Br", "Br", "Br", "Br", "Br"],
  "fractional_positions": [[0.000, 0.000, 0.000], [0.500, 0.000, 0.000], [0.911, 0.142, 0.285], [0.625, 0.857, 0.715], [0.375, 0.143, 0.285], [0.089, 0.858, 0.715], [0.260, 0.522, 0.000], [0.740, 0.478, 0.000]],
  "final_energy_ev_per_atom": -2.26,
  "spacegroup": "C2/m (12)",
  "vol_a3_per_cell": 281.45,
  "magmom_total_mub_per_fu": 0.00
}